# La2CdPt9

A geometry-optimized La2CdPt9 structure (PBE, the Alexandria database).

POSCAR file:
```
La2CdPt9
1.0
2.733 1.578 8.955
-2.733 1.578 8.955
0.000 -3.155 8.955
La Cd Pt
2 1 9
Cartesian
0.000 0.000 3.645
0.000 0.000 23.219
0.000 0.000 0.000
-1.381 -0.797 11.207
0.000 0.000 8.923
0.000 -1.594 15.657
-1.381 0.797 15.657
0.000 0.000 13.432
1.381 -0.797 11.207
0.000 1.594 11.207
0.000 0.000 17.942
1.381 0.797 15.657
```

Computed properties:
total energy = -6.09 eV/atom
SG = R-3m, No. 166
magnetization = 0.000 μB/atom
Fermi-level density of states = 8.27 states/eV/cell
V = 19.3 A^3/atom

***

# La2CdPt

A geometry-optimized La2CdPt structure (PBE, the Alexandria database).

POSCAR file:
```
La2CdPt
1.0
3.643 -2.106 0.000
3.643 2.106 0.000
-2.442 0.000 8.244
La Cd Pt
2 1 1
Cartesian
1.211 0.000 1.671
3.633 0.000 6.573
-1.221 0.000 4.122
3.643 0.000 0.000
```

Computed properties:
total energy = -4.89 eV/atom
SG = C2/m, No. 12
magnetization = 0.000 μB/atom
Fermi-level density of states = 3.53 states/eV/cell
V = 31.6 A^3/atom

***

# La7Cd2Pt2

A geometry-optimized La7Cd2Pt2 structure (PBE, the Alexandria database).

POSCAR file:
```
La7Cd2Pt2
1.0
4.231 -5.809 0.000
4.231 5.809 0.000
0.000 0.000 7.425
La Cd Pt
7 2 2
Cartesian
0.000 0.000 0.000
2.116 2.905 1.927
2.116 2.905 5.498
2.116 -2.905 1.927
2.116 -2.905 5.498
4.231 0.000 1.870
4.231 0.000 5.555
1.407 0.000 3.712
7.055 0.000 3.712
4.231 2.456 0.000
4.231 -2.456 0.000
```

Computed properties:
total energy = -4.88 eV/atom
SG = Cmmm, No. 65
magnetization = 0.000 μB/atom
Fermi-level density of states = 13.14 states/eV/cell
V = 33.2 A^3/atom

***

# La2CdPt

A geometry-optimized La2CdPt structure (PBE, the Alexandria database).

POSCAR file:
```
La2CdPt
1.0
3.761 0.000 0.000
0.000 3.742 0.000
-0.010 0.000 7.806
La Cd Pt
2 1 1
Cartesian
0.000 0.000 2.190
3.750 0.000 5.616
1.880 1.871 0.000
1.875 1.871 3.903
```

Computed properties:
total energy = -4.92 eV/atom
SG = P2/m, No. 10
magnetization = 0.000 μB/atom
Fermi-level density of states = 3.46 states/eV/cell
V = 27.5 A^3/atom

***

# La2CdPt

A geometry-optimized La2CdPt structure (PBE, the Alexandria database).

POSCAR file:
```
La2CdPt
1.0
-1.900 2.427 6.025
1.900 -2.427 6.025
1.900 2.427 -6.025
La Cd Pt
2 1 1
Cartesian
0.000 0.000 0.000
0.000 2.427 2.509
0.000 0.000 4.831
1.900 0.000 2.488
```

Computed properties:
total energy = -4.81 eV/atom
SG = Imm2, No. 44
magnetization = 0.000 μB/atom
Fermi-level density of states = 4.86 states/eV/cell
V = 27.8 A^3/atom

***

# La5Cd2Pt

A geometry-optimized La5Cd2Pt structure (PBE, the Alexandria database).

POSCAR file:
```
La5Cd2Pt
1.0
6.968 0.000 0.000
0.000 13.188 0.000
0.000 0.000 5.368
La Cd Pt
10 4 2
Cartesian
0.000 0.000 0.000
0.843 3.811 0.000
1.139 7.785 2.684
2.345 1.191 2.684
2.641 10.405 0.000
3.484 6.594 0.000
4.327 2.782 0.000
4.622 11.997 2.684
5.829 5.403 2.684
6.125 9.376 0.000
0.808 11.147 2.684
2.676 4.554 2.684
4.292 8.634 2.684
6.160 2.040 2.684
0.000 6.594 0.000
3.484 0.000 0.000
```

Computed properties:
total energy = -4.51 eV/atom
SG = Pbam, No. 55
magnetization = 0.000 μB/atom
Fermi-level density of states = 18.37 states/eV/cell
V = 30.8 A^3/atom

***

Q: Number 6 is which compound?
A: La5Cd2Pt

***

Q: V of number 6 (La5Cd2Pt)?
A: 30.8 A^3/atom

***

Q: magnetization of number 3 (La7Cd2Pt2)?
A: 0.000 μB/atom

***

Q: The highest V belongs to which entry?
A: La7Cd2Pt2